Density functional theory data (PBE) for a relaxed structure of PrZn9In2.

Summary:
- Calculated formation energy: -0.12 eV per atom
- V: 18.313 A^3/atom
- SG: R-3m

a b c (Å): 5.486 5.486 9.008
angles (deg): 72.27 72.27 60.00
Atoms (fractional coordinates):
Zn 0.500 0.500 0.500
Zn 0.415 0.918 0.251
Zn 0.668 0.668 0.996
Zn 0.332 0.332 0.004
Zn 0.585 0.585 0.749
Zn 0.918 0.415 0.251
Zn 0.082 0.585 0.749
Zn 0.585 0.082 0.749
Zn 0.415 0.415 0.251
Pr 0.000 0.000 0.000
In 0.861 0.861 0.416
In 0.139 0.139 0.584